Entry 1:
PmEuLu2: relaxed, PBE.

Structure (POSCAR):
```
PmEuLu2
1.0
-4.870 -2.834 -0.891
-0.163 -4.275 -3.773
-0.540 -5.383 1.810
Eu Lu Pm
1 2 1
Direct
0.000 0.000 0.000
0.750 0.750 0.750
0.250 0.250 0.250
0.500 0.500 0.500
```

Density   8.2 g/cm³
Formation energy from the elements   3.15 kcal/mol of atoms
Total energy   -5.88 eV/atom

***

Entry 2:
Y2HgBr: relaxed, PBE.

Structure (POSCAR):
```
Y2HgBr
1.0
-6.620 7.924 1.911
-7.423 5.673 4.794
-4.527 8.038 5.015
Y Hg Br
2 1 1
Direct
0.244 0.244 0.244
0.001 0.001 0.001
0.742 0.742 0.742
0.513 0.513 0.513
```

Density   6.1 g/cm³
ΔE to the lowest computed polymorph   111 meV per atom
ΔE_f (raw)   -615 meV per atom
Total energy   -4.34 eV/atom

***

The lowest density belongs to which entry?
Y2HgBr

***

The lowest total energy belongs to which entry?
PmEuLu2

***

Copy entry 1 word for word.
PmEuLu2: relaxed, PBE.

Structure (POSCAR):
```
PmEuLu2
1.0
-4.870 -2.834 -0.891
-0.163 -4.275 -3.773
-0.540 -5.383 1.810
Eu Lu Pm
1 2 1
Direct
0.000 0.000 0.000
0.750 0.750 0.750
0.250 0.250 0.250
0.500 0.500 0.500
```

Density   8.2 g/cm³
Formation energy from the elements   3.15 kcal/mol of atoms
Total energy   -5.88 eV/atom

***

Which of these has the highest total energy?
Y2HgBr